(1)
Material: LiTe2Au
Method: DFT, GGA-PBE
State: relaxed

Output
Crystal system   monoclinic
Space-group type   C2/m (12)
Formation energy from raw total energies   -0.322 eV per atom
Total magnetization   0.000 μB/atom

CIF file:
```
data_LiTe2Au
_cell_length_a 5.173
_cell_length_b 5.105
_cell_length_c 5.030
_cell_angle_alpha 69.21
_cell_angle_beta 74.23
_cell_angle_gamma 111.89
_symmetry_space_group_name_H-M 'P 1'
_symmetry_Int_Tables_number 1
loop_
_symmetry_equiv_pos_as_xyz
'x,y,z'
loop_
_atom_site_label
_atom_site_fract_x
_atom_site_fract_y
_atom_site_fract_z
Li1 0.500 0.500 0.000
Au1 0.000 0.500 0.500
Te1 0.500 0.000 0.500
Te2 0.000 0.000 0.000
```

***

(2)
Material: CaTh2Rh
Method: DFT, GGA-PBE
State: relaxed

Output
Crystal system   trigonal
Relative energy among the computed polymorphs   0.521 eV per formula unit
Formation energy   -0.145 eV per atom
Space-group type   R-3m (166)
Total magnetization   0.000 μB/atom

CIF file:
```
data_CaTh2Rh
_cell_length_a 3.890
_cell_length_b 3.890
_cell_length_c 10.959
_cell_angle_alpha 79.78
_cell_angle_beta 79.78
_cell_angle_gamma 60.00
_symmetry_space_group_name_H-M 'P 1'
_symmetry_Int_Tables_number 1
loop_
_symmetry_equiv_pos_as_xyz
'x,y,z'
loop_
_atom_site_label
_atom_site_fract_x
_atom_site_fract_y
_atom_site_fract_z
Ca1 0.000 0.000 0.000
Th1 0.886 0.886 0.341
Th2 0.114 0.114 0.659
Rh1 0.500 0.500 0.500
```